<1>
# Ba2CuBr6 PBE optimized geometry
# crystal system = tetragonal
data_Ba2CuBr6
_space_group_name_H-M_alt 'P 42/m n m'
_space_group_IT_number 136
_space_group_name_Hall '-P 4n 2n'
_cell_length_a 7.231
_cell_length_b 7.231
_cell_length_c 13.598
_cell_angle_alpha 90.00
_cell_angle_beta 90.00
_cell_angle_gamma 90.00
loop_
_atom_site_label
_atom_site_fract_x
_atom_site_fract_y
_atom_site_fract_z
Ba1 0.000 0.000 0.166
Cu1 0.000 0.000 0.500
Br1 0.174 0.174 0.367
Br2 0.214 0.214 0.000

<2>
# Ba2CuBr6 PBE optimized geometry
# crystal system = monoclinic
data_Ba2CuBr6
_space_group_name_H-M_alt 'P 1 21/c 1'
_space_group_IT_number 14
_cell_length_a 6.879
_cell_length_b 8.823
_cell_length_c 12.085
_cell_angle_alpha 90.00
_cell_angle_beta 123.74
_cell_angle_gamma 90.00
loop_
_space_group_symop_operation_xyz
'x,y,z'
'-x,-y,-z'
'-x,y+1/2,-z+1/2'
'x,-y+1/2,z+1/2'
loop_
_atom_site_label
_atom_site_fract_x
_atom_site_fract_y
_atom_site_fract_z
Ba1 0.210 0.118 0.264
Cu1 0.500 0.000 0.000
Br1 0.150 0.144 0.958
Br2 0.272 0.677 0.948
Br3 0.352 0.015 0.764

Most stable to least stable: <2>, <1>

<1>
# BaCuBr4 PBE optimized geometry
# crystal system = tetragonal
data_BaCuBr4
_space_group_name_H-M_alt 'I -4'
_space_group_IT_number 82
_cell_length_a 7.545
_cell_length_b 7.545
_cell_length_c 8.121
_cell_angle_alpha 90.00
_cell_angle_beta 90.00
_cell_angle_gamma 90.00
loop_
_space_group_symop_operation_xyz
'x,y,z'
'y,-x,-z'
'-x,-y,z'
'-y,x,-z'
'x+1/2,y+1/2,z+1/2'
'y+1/2,-x+1/2,-z+1/2'
'-x+1/2,-y+1/2,z+1/2'
'-y+1/2,x+1/2,-z+1/2'
loop_
_atom_site_label
_atom_site_fract_x
_atom_site_fract_y
_atom_site_fract_z
Ba1 0.000 0.000 0.000
Cu1 0.000 0.500 0.750
Br1 0.228 0.270 0.748

<2>
# BaCuBr4 PBE optimized geometry
# crystal system = tetragonal
data_BaCuBr4
_space_group_name_H-M_alt 'I 41/a'
_space_group_IT_number 88
_cell_length_a 7.231
_cell_length_b 7.231
_cell_length_c 15.524
_cell_angle_alpha 90.00
_cell_angle_beta 90.00
_cell_angle_gamma 90.00
loop_
_space_group_symop_operation_xyz
'x,y,z'
'-x,-y,-z'
'-y+3/4,x+1/4,z+1/4'
'y+3/4,-x+1/4,-z+1/4'
'-x+1/2,-y,z+1/2'
'x+1/2,y,-z+1/2'
'y+3/4,-x+3/4,z+3/4'
'-y+3/4,x+3/4,-z+3/4'
'x+1/2,y+1/2,z+1/2'
'-x+1/2,-y+1/2,-z+1/2'
'-y+1/4,x+3/4,z+3/4'
'y+1/4,-x+3/4,-z+3/4'
'-x,-y+1/2,z'
'x,y+1/2,-z'
'y+1/4,-x+1/4,z+1/4'
'-y+1/4,x+1/4,-z+1/4'
loop_
_atom_site_label
_atom_site_fract_x
_atom_site_fract_y
_atom_site_fract_z
Ba1 0.000 0.250 0.125
Cu1 0.000 0.250 0.625
Br1 0.144 0.489 0.304

<3>
# BaCuBr4 PBE optimized geometry
# crystal system = cubic
data_BaCuBr4
_space_group_name_H-M_alt 'F -4 3 m'
_space_group_IT_number 216
_space_group_name_Hall 'F -4 2 3'
_cell_length_a 9.188
_cell_length_b 9.188
_cell_length_c 9.188
_cell_angle_alpha 90.00
_cell_angle_beta 90.00
_cell_angle_gamma 90.00
loop_
_atom_site_label
_atom_site_fract_x
_atom_site_fract_y
_atom_site_fract_z
Ba1 0.000 0.000 0.000
Cu1 0.250 0.250 0.250
Br1 0.125 0.125 0.625

Most stable to least stable: <1>, <2>, <3>

<1>
# Ba2BrF PBE optimized geometry
# crystal system = tetragonal
data_Ba2BrF
_space_group_name_H-M_alt 'I -4 2 d'
_space_group_IT_number 122
_space_group_name_Hall 'I -4 2bw'
_cell_length_a 7.061
_cell_length_b 7.061
_cell_length_c 13.403
_cell_angle_alpha 90.00
_cell_angle_beta 90.00
_cell_angle_gamma 90.00
loop_
_atom_site_label
_atom_site_fract_x
_atom_site_fract_y
_atom_site_fract_z
Ba1 0.191 0.250 0.125
Br1 0.000 0.000 0.500
F1 0.000 0.000 0.000

<2>
# Ba2BrF PBE optimized geometry
# crystal system = cubic
data_Ba2BrF
_space_group_name_H-M_alt 'F m -3 m'
_space_group_IT_number 225
_space_group_name_Hall '-F 4 2 3'
_cell_length_a 7.828
_cell_length_b 7.828
_cell_length_c 7.828
_cell_angle_alpha 90.00
_cell_angle_beta 90.00
_cell_angle_gamma 90.00
loop_
_atom_site_label
_atom_site_fract_x
_atom_site_fract_y
_atom_site_fract_z
Ba1 0.250 0.250 0.250
Br1 0.000 0.000 0.000
F1 0.000 0.000 0.500

Most stable to least stable: <1>, <2>

<1>
# BaBrF3 PBE optimized geometry
# crystal system = cubic
data_BaBrF3
_space_group_name_H-M_alt 'P m -3 m'
_space_group_IT_number 221
_space_group_name_Hall '-P 4 2 3'
_cell_length_a 5.123
_cell_length_b 5.123
_cell_length_c 5.123
_cell_angle_alpha 90.00
_cell_angle_beta 90.00
_cell_angle_gamma 90.00
loop_
_atom_site_label
_atom_site_fract_x
_atom_site_fract_y
_atom_site_fract_z
Ba1 0.000 0.000 0.000
Br1 0.500 0.500 0.500
F1 0.000 0.000 0.500

<2>
# BaBrF3 PBE optimized geometry
# crystal system = cubic
data_BaBrF3
_space_group_name_H-M_alt 'P m -3 m'
_space_group_IT_number 221
_space_group_name_Hall '-P 4 2 3'
_cell_length_a 4.758
_cell_length_b 4.758
_cell_length_c 4.758
_cell_angle_alpha 90.00
_cell_angle_beta 90.00
_cell_angle_gamma 90.00
loop_
_atom_site_label
_atom_site_fract_x
_atom_site_fract_y
_atom_site_fract_z
Ba1 0.000 0.000 0.000
Br1 0.500 0.500 0.500
F1 0.000 0.500 0.500

Most stable to least stable: <1>, <2>